! PBE LiCdHg3Pb, relaxed; values from VASP
&SYSTEM
  ibrav = 0, nat = 12, ntyp = 4
/
ATOMIC_SPECIES
Cd 112.41 Cd.upf
Hg 200.59 Hg.upf
Li 6.94 Li.upf
Pb 207.20 Pb.upf
CELL_PARAMETERS angstrom
-1.699 3.180 1.039
-5.815 -4.794 -1.615
-0.058 -3.302 10.008
ATOMIC_POSITIONS crystal
Cd 0.545 0.089 0.250
Cd 0.455 0.911 0.750
Hg 0.894 0.788 0.250
Hg 0.348 0.695 0.999
Hg 0.652 0.305 0.001
Hg 0.348 0.695 0.501
Hg 0.106 0.212 0.750
Hg 0.652 0.305 0.499
Li 0.000 0.000 0.000
Li 0.000 0.000 0.500
Pb 0.778 0.556 0.750
Pb 0.222 0.444 0.250
! SG   Cmcm, No. 63
! Density of states at the Fermi level   3.6 states/eV/cell
! ΔE_f   -85 meV per atom

=====

! PBE LiCdHg4Pb2, relaxed; values from VASP
&SYSTEM
  ibrav = 0, nat = 8, ntyp = 4
/
ATOMIC_SPECIES
Li 6.94 Li.upf
Hg 200.59 Hg.upf
Cd 112.41 Cd.upf
Pb 207.20 Pb.upf
CELL_PARAMETERS angstrom
-2.211 -0.549 4.452
-1.855 -4.219 -1.441
8.598 0.338 4.312
ATOMIC_POSITIONS crystal
Li 0.500 0.500 0.000
Hg 0.000 0.720 0.220
Hg 0.500 0.782 0.782
Hg 0.000 0.280 0.780
Hg 0.500 0.218 0.218
Cd 0.000 0.000 0.000
Pb 0.500 0.000 0.500
Pb 0.000 0.500 0.500
! SG   P2/m, No. 10
! Density of states at the Fermi level   2.8 states/eV/cell
! ΔE_f   -77 meV per atom

=====

For reference, total magnetic moment by record: 0.0000; 0.0000 μB per atom.